1.
## Ta2GePdF (PBE)

Data for a relaxed Ta2GePdF crystal.

abc: 4.8382 4.5355 4.8382
angles: 90.00 90.00 90.00
Closest atoms and distances in Å follow each position.
Fractional positions:
Ge 0.0000 0.0000 0.0000  2 Pd 2.27, 4 Ta 2.42
F 0.5000 0.5000 0.5000  8 Ta 3.32, 4 Pd 3.42
Pd 0.0000 0.5000 0.0000  2 Ge 2.27
Ta 0.0000 0.0000 0.5000  2 Ge 2.42
Ta 0.5000 0.0000 0.0000  2 Ge 2.42

Results
- Formation energy (no corrections): 0.98 eV per atom
- Crystal system: tetragonal

---

2.
## MgNb4Te8 (PBE)

Data for a relaxed MgNb4Te8 crystal.

abc: 7.3750 7.3747 8.8949
angles: 90.00 114.50 120.00
Closest atoms and distances in Å follow each position.
Fractional positions:
Mg 0.0000 0.5000 0.5000  6 Te 2.95
Nb 0.0000 0.0000 0.0000  6 Te 2.83
Nb 0.0000 0.5000 0.0000  6 Te 2.82
Nb 0.5000 0.5000 0.0000  6 Te 2.82
Nb 0.5000 0.0000 0.0000  6 Te 2.82
Te 0.4917 0.7458 0.2375  3 Nb 2.82
Te 0.5083 0.2542 0.7625  3 Nb 2.82
Te 0.4921 0.2461 0.2377  3 Nb 2.82-2.83, 1 Mg 2.95
Te 0.0084 0.2545 0.7623  3 Nb 2.82-2.83, 1 Mg 2.95
Te 0.5079 0.7539 0.7623  3 Nb 2.82-2.83, 1 Mg 2.95
Te 0.0084 0.7539 0.7623  3 Nb 2.82-2.83, 1 Mg 2.95
Te 0.9916 0.2461 0.2377  3 Nb 2.82-2.83, 1 Mg 2.95
Te 0.9916 0.7455 0.2377  3 Nb 2.82-2.83, 1 Mg 2.95

Results
- Formation energy (no corrections): -0.44 eV per atom
- Crystal system: trigonal

---

3.
## Pr3MgCd (PBE)

Data for a relaxed Pr3MgCd crystal.

abc: 7.1289 7.9676 11.1222
angles: 79.07 90.00 90.00
Closest atoms and distances in Å follow each position.
Fractional positions:
Pr 0.9807 0.7837 0.3231  3 Cd 3.22-3.56, 3 Pr 3.36-3.59, 2 Mg 3.45-3.49
Pr 0.0193 0.2163 0.6769  3 Cd 3.22-3.56, 3 Pr 3.36-3.59, 2 Mg 3.45-3.49
Pr 0.4807 0.2163 0.1769  3 Cd 3.22-3.56, 3 Pr 3.36-3.59, 2 Mg 3.45-3.49
Pr 0.5193 0.7837 0.8231  3 Cd 3.22-3.56, 3 Pr 3.36-3.59, 2 Mg 3.45-3.49
Pr 0.5134 0.7915 0.3593  3 Cd 3.32-3.61, 4 Pr 3.36-3.63, 2 Mg 3.41-3.43
Pr 0.4866 0.2085 0.6407  3 Cd 3.32-3.61, 4 Pr 3.36-3.63, 2 Mg 3.41-3.43
Pr 0.0134 0.2085 0.1407  3 Cd 3.32-3.61, 4 Pr 3.36-3.63, 2 Mg 3.41-3.43
Pr 0.9866 0.7915 0.8593  3 Cd 3.32-3.61, 4 Pr 3.36-3.63, 2 Mg 3.41-3.43
Pr 0.2251 0.6502 0.6077  3 Mg 3.30-3.48, 1 Cd 3.44, 4 Pr 3.46-3.63
Pr 0.7749 0.3498 0.3923  3 Mg 3.30-3.48, 1 Cd 3.44, 4 Pr 3.46-3.63
Pr 0.7251 0.3498 0.8923  3 Mg 3.30-3.48, 1 Cd 3.44, 4 Pr 3.46-3.63
Pr 0.2749 0.6502 0.1077  3 Mg 3.30-3.48, 1 Cd 3.44, 4 Pr 3.46-3.63
Mg 0.7572 0.5781 0.1118  1 Cd 2.85
Mg 0.2428 0.4219 0.8882  1 Cd 2.85
Mg 0.2572 0.4219 0.3882  1 Cd 2.85
Mg 0.7428 0.5781 0.6118  1 Cd 2.85
Cd 0.2069 0.0610 0.4425  1 Mg 2.85
Cd 0.7931 0.9390 0.5575  1 Mg 2.85
Cd 0.7069 0.9390 0.0575  1 Mg 2.85
Cd 0.2931 0.0610 0.9425  1 Mg 2.85

Results
- Energy relative to the elements: -7.4 kJ per mole of atoms
- Crystal system: monoclinic

---

4.
## Ba3AgW (PBE)

Data for a relaxed Ba3AgW crystal.

abc: 5.9947 5.9947 5.9947
angles: 90.00 90.00 90.00
Closest atoms and distances in Å follow each position.
Fractional positions:
Ag 0.5000 0.5000 0.5000  12 Ba 4.24
Ba 0.0000 0.5000 0.0000  2 W 3.00
Ba 0.0000 0.0000 0.5000  2 W 3.00
Ba 0.5000 0.0000 0.0000  2 W 3.00
W 0.0000 0.0000 0.0000  6 Ba 3.00

Results
- Energy relative to the elements: 83.8 kJ per mole of atoms
- Crystal system: cubic

---

5.
## DyNpCdO6 (PBE)

Data for a relaxed DyNpCdO6 crystal.

abc: 5.1101 5.1101 10.2523
angles: 90.00 90.00 90.00
Closest atoms and distances in Å follow each position.
Fractional positions:
Dy 0.5000 0.5000 0.1686  6 O 2.25-2.29
Dy 0.0000 0.0000 0.6686  6 O 2.25-2.29
Np 0.5000 0.5000 0.8328  6 O 2.03-2.04
Np 0.0000 0.0000 0.3328  6 O 2.03-2.04
Cd 0.5000 0.5000 0.4985  6 O 2.31-2.36
Cd 0.0000 0.0000 0.9985  6 O 2.31-2.36
O 0.1806 0.8194 0.4850  1 Np 2.03
O 0.8194 0.1806 0.4850  1 Np 2.03
O 0.3194 0.3194 0.9850  1 Np 2.03
O 0.6806 0.6806 0.9850  1 Np 2.03
O 0.1898 0.8102 0.1858  1 Np 2.04, 1 Dy 2.25
O 0.8102 0.1898 0.1858  1 Np 2.04, 1 Dy 2.25
O 0.3102 0.3102 0.6858  1 Np 2.04, 1 Dy 2.25
O 0.6898 0.6898 0.6858  1 Np 2.04, 1 Dy 2.25
O 0.7809 0.2191 0.8292  1 Np 2.03
O 0.2191 0.7809 0.8292  1 Np 2.03
O 0.7191 0.7191 0.3292  1 Np 2.03
O 0.2809 0.2809 0.3292  1 Np 2.03

Results
- Formation energy (no corrections): -2.51 eV per atom
- Crystal system: tetragonal

---

6.
## Tb2EuBe (PBE)

Data for a relaxed Tb2EuBe crystal.

abc: 3.5213 3.5213 8.9593
angles: 90.00 90.00 90.00
Closest atoms and distances in Å follow each position.
Fractional positions:
Eu 0.5000 0.5000 0.5000  4 Eu 3.52, 8 Tb 3.80
Be 0.5000 0.5000 0.0000  8 Tb 2.96
Tb 0.0000 0.0000 0.8206  4 Be 2.96, 1 Tb 3.21
Tb 0.0000 0.0000 0.1794  4 Be 2.96, 1 Tb 3.21

Results
- Energy relative to the elements: 10.6 kJ per mole of atoms
- Crystal system: tetragonal

---

7.
## Na3Hg5Sb2 (PBE)

Data for a relaxed Na3Hg5Sb2 crystal.

abc: 7.0810 9.8446 9.8446
angles: 86.02 68.92 68.92
Closest atoms and distances in Å follow each position.
Fractional positions:
Na 0.2500 0.0000 0.0000  4 Sb 3.19, 2 Hg 3.20, 2 Na 3.54
Na 0.7500 0.0000 0.0000  4 Sb 3.19, 2 Hg 3.20, 2 Na 3.54
Na 0.3774 0.3658 0.8795  2 Sb 3.29-3.60, 2 Hg 3.42-3.46
Na 0.6226 0.6342 0.1205  2 Sb 3.29-3.60, 2 Hg 3.42-3.46
Na 0.8774 0.8795 0.3658  2 Sb 3.29-3.60, 2 Hg 3.42-3.46
Na 0.1226 0.1205 0.6342  2 Sb 3.29-3.60, 2 Hg 3.42-3.46
Hg 0.2500 0.5000 0.5000  6 Hg 3.05-3.07
Hg 0.7500 0.5000 0.5000  6 Hg 3.05-3.07
Hg 0.5050 0.7450 0.7450  2 Sb 2.97, 3 Hg 3.04-3.07, 1 Na 3.20
Hg 0.9950 0.2550 0.2550  2 Sb 2.97, 3 Hg 3.04-3.07, 1 Na 3.20
Hg 0.4950 0.2550 0.2550  2 Sb 2.97, 3 Hg 3.04-3.07, 1 Na 3.20
Hg 0.0050 0.7450 0.7450  2 Sb 2.97, 3 Hg 3.04-3.07, 1 Na 3.20
Hg 0.1227 0.5221 0.2326  1 Sb 2.84, 4 Hg 3.04-3.05
Hg 0.8773 0.4779 0.7674  1 Sb 2.84, 4 Hg 3.04-3.05
Hg 0.6227 0.2326 0.5221  1 Sb 2.84, 4 Hg 3.04-3.05
Hg 0.3773 0.7674 0.4779  1 Sb 2.84, 4 Hg 3.04-3.05
Sb 0.1441 0.7115 0.0004  3 Hg 2.84-2.97
Sb 0.8559 0.2885 0.9996  3 Hg 2.84-2.97
Sb 0.6441 0.0004 0.7115  3 Hg 2.84-2.97
Sb 0.3559 0.9996 0.2885  3 Hg 2.84-2.97

Results
- Formation energy (no corrections): -0.14 eV per atom
- Crystal system: orthorhombic

---

8.
## PIrCl2 (PBE)

Data for a relaxed PIrCl2 crystal.

abc: 8.4453 8.4453 8.4453
angles: 23.56 23.56 23.56
Closest atoms and distances in Å follow each position.
Fractional positions:
Cl 0.9721 0.9721 0.9721  3 Ir 2.41
Cl 0.5279 0.5279 0.5279  3 Ir 2.41
Ir 0.2500 0.2500 0.2500  6 Cl 2.41
P 0.7500 0.7500 0.7500  6 Cl 3.39, 6 P 3.45

Results
- Formation energy (no corrections): 0.81 eV per atom
- Crystal system: trigonal

---

9.
## NaMg2ReH8 (PBE)

Data for a relaxed NaMg2ReH8 crystal.

abc: 4.7203 4.7203 6.3920
angles: 90.00 90.00 120.00
Closest atoms and distances in Å follow each position.
Fractional positions:
Na 0.0000 0.0000 0.5000  12 H 2.61-2.75
Mg 0.6667 0.3333 0.1505  1 H 1.87
Mg 0.3333 0.6667 0.8495  1 H 1.87
Re 0.0000 0.0000 0.0000  6 H 1.75
H 0.8250 0.6499 0.8414  1 Re 1.75
H 0.3501 0.1750 0.8414  1 Re 1.75
H 0.8250 0.1750 0.8414  1 Re 1.75
H 0.1750 0.3501 0.1586  1 Re 1.75
H 0.6499 0.8250 0.1586  1 Re 1.75
H 0.1750 0.8250 0.1586  1 Re 1.75
H 0.6667 0.3333 0.4426  1 Mg 1.87
H 0.3333 0.6667 0.5574  1 Mg 1.87

Results
- Crystal system: trigonal

---

10.
## AcPrGeSe (PBE)

Data for a relaxed AcPrGeSe crystal.

abc: 4.4430 4.4430 7.7156
angles: 73.27 73.27 60.00
Closest atoms and distances in Å follow each position.
Fractional positions:
Ac 0.6910 0.6910 0.9271  3 Ge 3.16, 3 Se 3.23
Pr 0.1977 0.1977 0.4069  3 Ge 3.05, 3 Se 3.14
Ge 0.9399 0.9399 0.1803  3 Pr 3.05, 3 Ac 3.16
Se 0.4478 0.4478 0.6565  3 Pr 3.14, 3 Ac 3.23

Results
- Formation energy (no corrections): -1.36 eV per atom
- Crystal system: trigonal

---

11.
## CaTb4Dy3Se8 (PBE)

Data for a relaxed CaTb4Dy3Se8 crystal.

abc: 8.1909 8.1983 8.1909
angles: 119.96 120.00 90.00
Closest atoms and distances in Å follow each position.
Fractional positions:
Ca 0.0000 0.5000 0.0000  6 Se 2.89-2.90
Tb 0.5000 0.0000 0.0000  6 Se 2.90
Tb 0.5000 0.0000 0.5000  6 Se 2.90-2.91
Tb 0.0000 0.0000 0.0000  6 Se 2.91
Tb 0.0000 0.0000 0.5000  6 Se 2.90-2.91
Dy 0.5000 0.5000 0.0000  6 Se 2.89
Dy 0.5000 0.5000 0.5000  6 Se 2.89
Dy 0.0000 0.5000 0.5000  6 Se 2.89
Se 0.2498 0.7484 0.9986  2 Dy 2.89, 1 Ca 2.89, 3 Tb 2.90-2.91
Se 0.2498 0.7485 0.4997  2 Dy 2.89, 1 Ca 2.90, 3 Tb 2.90
Se 0.2507 0.2520 0.5013  3 Dy 2.89, 3 Tb 2.91
Se 0.7489 0.7484 0.9986  2 Dy 2.89, 1 Ca 2.89, 3 Tb 2.90-2.91
Se 0.2511 0.2516 0.0014  2 Dy 2.89, 1 Ca 2.89, 3 Tb 2.90-2.91
Se 0.7493 0.7480 0.4987  3 Dy 2.89, 3 Tb 2.91
Se 0.7502 0.2515 0.5003  2 Dy 2.89, 1 Ca 2.90, 3 Tb 2.90
Se 0.7502 0.2516 0.0014  2 Dy 2.89, 1 Ca 2.89, 3 Tb 2.90-2.91

Results
- Formation energy (no corrections): -1.78 eV per atom
- Crystal system: trigonal

---

In g/cm3, the theoretical density values for the records above are, in order, 8.76, 6.40, 5.99, 5.42, 7.54, 7.16, 7.33, 5.78, 3.58, 6.93, 7.66.
In hartree per atom, the raw total energy values for the records above are, in order, -0.22391, -0.20542, -0.12666, -0.12664, -0.28921, -0.20968, -0.05558, -0.13528, -0.13312, -0.20609, -0.20847.